1.
DFT (PBE) results for a relaxed Pm2PrEr crystal.

Unit cell a=3.748 b=5.986 c=12.120 alpha=90.00 beta=90.00 gamma=90.00
Fractional coordinates of all 8 atoms:
Pm 0.000 0.000 0.000
Pm 0.000 0.500 0.242
Pm 0.500 0.000 0.742
Pm 0.500 0.500 0.500
Pr 0.000 0.000 0.479
Pr 0.500 0.500 0.979
Er 0.000 0.500 0.738
Er 0.500 0.000 0.238

Results
**Crystal system**: orthorhombic
**Space-group type**: Imm2 (44)
**E above lowest polymorph**: 0.0964 eV/atom
**V**: 272 Å³ per cell

---

2.
DFT (PBE) results for a relaxed Pm3Pr4Er4 crystal.

Unit cell a=10.815 b=6.703 c=6.703 alpha=50.87 beta=90.00 gamma=90.00
Fractional coordinates of all 11 atoms:
Pm 0.000 0.000 0.000
Pm 0.289 0.159 0.159
Pm 0.711 0.159 0.159
Pr 0.000 0.707 0.707
Pr 0.211 0.500 0.500
Pr 0.500 0.628 0.628
Pr 0.789 0.500 0.500
Er 0.000 0.302 0.302
Er 0.305 0.852 0.852
Er 0.500 0.355 0.355
Er 0.695 0.852 0.852

Results
**Crystal system**: orthorhombic
**Space-group type**: Amm2 (38)
**E above lowest polymorph**: 0.1342 eV/atom
**V**: 377 Å³ per cell

---

3.
DFT (PBE) results for a relaxed Pm2Pr2Er5 crystal.

Unit cell a=10.148 b=10.148 c=10.148 alpha=84.70 beta=108.24 gamma=141.20
Fractional coordinates of all 18 atoms:
Pm 0.005 0.127 0.131
Pm 0.005 0.373 0.378
Pm 0.995 0.627 0.622
Pm 0.995 0.873 0.869
Pr 0.441 0.701 0.240
Pr 0.461 0.201 0.760
Pr 0.549 0.049 0.500
Pr 0.549 0.549 0.000
Er 0.111 0.299 0.705
Er 0.111 0.906 0.312
Er 0.397 0.402 0.495
Er 0.427 0.020 0.123
Er 0.427 0.804 0.907
Er 0.595 0.406 0.295
Er 0.595 0.799 0.688
Er 0.897 0.304 0.877
Er 0.897 0.520 0.093
Er 0.906 0.902 0.505

Results
**Crystal system**: orthorhombic
**Space-group type**: Ima2 (46)
**E above lowest polymorph**: 0.1970 eV/atom
**V**: 601 Å³ per cell

---

4.
DFT (PBE) results for a relaxed PmPr3Er4 crystal.

Unit cell a=10.213 b=7.199 c=7.196 alpha=90.00 beta=90.00 gamma=90.00
Fractional coordinates of all 16 atoms:
Pm 0.000 0.000 0.000
Pm 0.500 0.000 0.500
Pr 0.000 0.500 0.500
Pr 0.250 0.249 0.250
Pr 0.250 0.751 0.750
Pr 0.500 0.500 0.000
Pr 0.750 0.249 0.250
Pr 0.750 0.751 0.750
Er 0.000 0.000 0.500
Er 0.000 0.500 0.000
Er 0.250 0.250 0.750
Er 0.250 0.750 0.250
Er 0.500 0.000 0.000
Er 0.500 0.500 0.500
Er 0.750 0.250 0.750
Er 0.750 0.750 0.250

Results
**Crystal system**: orthorhombic
**Space-group type**: Pmna (53)
**E above lowest polymorph**: 0.0000 eV/atom
**V**: 529 Å³ per cell

---

5.
DFT (PBE) results for a relaxed Pm12PrEr6 crystal.

Unit cell a=8.640 b=8.640 c=8.640 alpha=88.84 beta=88.84 gamma=88.84
Fractional coordinates of all 19 atoms:
Pm 0.016 0.199 0.362
Pm 0.199 0.362 0.016
Pm 0.220 0.463 0.567
Pm 0.362 0.016 0.199
Pm 0.433 0.780 0.537
Pm 0.463 0.567 0.220
Pm 0.537 0.433 0.780
Pm 0.567 0.220 0.463
Pm 0.638 0.984 0.801
Pm 0.780 0.537 0.433
Pm 0.801 0.638 0.984
Pm 0.984 0.801 0.638
Pr 0.000 0.000 0.000
Er 0.099 0.698 0.258
Er 0.258 0.099 0.698
Er 0.302 0.742 0.901
Er 0.698 0.258 0.099
Er 0.742 0.901 0.302
Er 0.901 0.302 0.742

Results
**Crystal system**: trigonal
**Space-group type**: R-3 (148)
**E above lowest polymorph**: 0.0000 eV/atom
**V**: 644 Å³ per cell

---

6.
DFT (PBE) results for a relaxed Pm2Pr5Er2 crystal.

Unit cell a=6.340 b=6.340 c=10.954 alpha=106.86 beta=106.86 gamma=48.11
Fractional coordinates of all 9 atoms:
Pm 0.001 0.001 0.168
Pm 0.999 0.999 0.832
Pr 0.000 0.000 0.500
Pr 0.333 0.333 0.945
Pr 0.334 0.334 0.611
Pr 0.666 0.666 0.389
Pr 0.667 0.667 0.055
Er 0.333 0.333 0.277
Er 0.667 0.667 0.723

Results
**Crystal system**: monoclinic
**Space-group type**: C2/m (12)
**E above lowest polymorph**: 0.0000 eV/atom
**V**: 311 Å³ per cell

---

7.
DFT (PBE) results for a relaxed PmPrEr3 crystal.

Unit cell a=6.299 b=5.717 c=9.587 alpha=90.00 beta=108.86 gamma=90.00
Fractional coordinates of all 10 atoms:
Pm 0.133 0.250 0.099
Pm 0.867 0.750 0.901
Pr 0.268 0.750 0.700
Pr 0.732 0.250 0.300
Er 0.067 0.750 0.302
Er 0.336 0.250 0.500
Er 0.465 0.750 0.102
Er 0.535 0.250 0.898
Er 0.664 0.750 0.500
Er 0.933 0.250 0.698

Results
**Crystal system**: monoclinic
**Space-group type**: P2_1/m (11)
**E above lowest polymorph**: 0.0000 eV/atom
**V**: 327 Å³ per cell

---

8.
DFT (PBE) results for a relaxed PmPr2Er4 crystal.

Unit cell a=4.579 b=4.579 c=22.557 alpha=90.00 beta=90.00 gamma=90.00
Fractional coordinates of all 14 atoms:
Pm 0.000 0.000 0.000
Pm 0.500 0.500 0.500
Pr 0.000 0.000 0.402
Pr 0.000 0.000 0.598
Pr 0.500 0.500 0.098
Pr 0.500 0.500 0.902
Er 0.000 0.000 0.141
Er 0.000 0.000 0.859
Er 0.000 0.500 0.250
Er 0.000 0.500 0.750
Er 0.500 0.000 0.250
Er 0.500 0.000 0.750
Er 0.500 0.500 0.359
Er 0.500 0.500 0.641

Results
**Crystal system**: tetragonal
**Space-group type**: I4/mmm (139)
**E above lowest polymorph**: 0.0000 eV/atom
**V**: 473 Å³ per cell

---

no.,calculated formation energy (meV/atom)
1,113
2,152
3,204
4,23
5,136
6,17
7,17
8,261